# 1
Here is an optimized crystal structure of CrNiP2 from the Alexandria database. Energies are from PBE.

a b c (Å): 4.0788 4.0788 4.0788
angles (deg): 60.00 60.00 60.00
Positions (direct):
Cr 0.0000 0.0000 0.0000
Ni 0.5000 0.5000 0.5000
P 0.2500 0.2500 0.2500
P 0.7500 0.7500 0.7500

The calculation puts the energy at -26.34 eV per cell. Its space-group type is Fm-3m (225). The calculation puts the formation energy at -0.029 eV per atom.

***

# 2
Here is an optimized crystal structure of AlZnRu2 from the Alexandria database. Energies are from PBE.

a b c (Å): 4.3023 4.3023 4.3023
angles (deg): 60.00 60.00 60.00
Positions (direct):
Al 0.0000 0.0000 0.0000
Zn 0.2500 0.2500 0.2500
Ru 0.5000 0.5000 0.5000
Ru 0.7500 0.7500 0.7500

The calculation puts the energy at -23.81 eV per cell. Its space-group type is F-43m (216). The calculation puts the formation energy at -0.060 eV per atom.